1.
First-principles (PBEsol) data for a relaxed Sr2CuF6 crystal, as listed in Alexandria.

Summary:
- Energy relative to the elements, uncorrected: -304 kJ/mol of atoms
- Polymorph energy (0 for the lowest one): 0 meV per atom
- Energy: -5.33 eV per atom

Unit cell a=5.699 b=5.704 c=8.630 alpha=109.30 beta=90.00 gamma=90.00
Element x y z (fractional)
1 Sr 0.000 0.838 0.677
2 F 0.167 0.748 0.162
3 Sr 0.500 0.338 0.677
4 F 0.750 0.493 0.500
5 F 0.167 0.586 0.838
6 F 0.333 0.086 0.838
7 Sr 0.500 0.662 0.323
8 F 0.667 0.752 0.838
9 F 0.833 0.414 0.162
10 Sr 0.000 0.162 0.323
11 F 0.333 0.248 0.162
12 F 0.833 0.252 0.838
13 F 0.250 0.507 0.500
14 F 0.667 0.914 0.162
15 F 0.750 0.993 0.500
16 Cu 0.500 0.000 0.000
17 F 0.250 0.007 0.500
18 Cu 0.000 0.500 0.000

=====

2.
First-principles (PBEsol) data for a relaxed FeSn2PbF crystal, as listed in Alexandria.

Summary:
- Energy relative to the elements, uncorrected: -3 kJ/mol of atoms
- Energy: -4.71 eV per atom

Unit cell a=3.838 b=5.367 c=5.367 alpha=90.00 beta=90.00 gamma=90.00
Element x y z (fractional)
1 Fe 0.500 0.000 0.000
2 Pb 0.500 0.500 0.500
3 Sn 0.000 0.000 0.500
4 F 0.000 0.000 0.000
5 Sn 0.000 0.500 0.000